(1)
! Ac2Tl3Ge | the Alexandria database | PBE | relaxed; values from VASP
! - Total energy: -3.624 eV/atom
! - Energy of formation from the pure elements: -174.6 kJ/mol of formula units
! - Volume: 31.8 Å³ per atom
! - Total moment: 0.00 μB per formula unit
&SYSTEM
  ibrav = 0, nat = 6, ntyp = 3
/
ATOMIC_SPECIES
Ac 227.00 Ac.upf
Tl 204.38 Tl.upf
Ge 72.64 Ge.upf
CELL_PARAMETERS angstrom
4.2861 0.0000 0.0000
0.0000 5.0179 0.0000
0.0000 0.0000 8.8587
ATOMIC_POSITIONS crystal
Ac 0.0000 0.0000 0.0000
Ac 0.0000 0.5000 0.4509
Tl 0.5000 0.0000 0.6245
Tl 0.5000 0.5000 0.1434
Tl 0.5000 0.5000 0.8033
Ge 0.5000 0.0000 0.3027

(2)
! MgIn2Cu | the Alexandria database | PBE | relaxed; values from VASP
! - Total energy: -2.775 eV/atom
! - Energy of formation from the pure elements: 6.7 kJ/mol of formula units
! - Volume: 21.9 Å³ per atom
! - Total moment: 0.00 μB per formula unit
&SYSTEM
  ibrav = 0, nat = 4, ntyp = 3
/
ATOMIC_SPECIES
Mg 24.30 Mg.upf
In 114.82 In.upf
Cu 63.55 Cu.upf
CELL_PARAMETERS angstrom
-1.5547 2.2212 6.3555
1.5547 -2.2212 6.3555
1.5547 2.2212 -6.3555
ATOMIC_POSITIONS crystal
Mg 0.0000 0.0000 0.0000
In 0.3783 0.3783 0.0000
In 0.6838 0.1838 0.5000
Cu 0.1845 0.6845 0.5000

(3)
! SrScSn3 | the Alexandria database | PBE | relaxed; values from VASP
! - Total energy: -3.140 eV/atom
! - Energy of formation from the pure elements: 417.2 kJ/mol of formula units
! - Volume: 38.6 Å³ per atom
! - Total moment: 0.00 μB per formula unit
! - Offset from the most stable computed form: 1085.9 meV per atom
&SYSTEM
  ibrav = 0, nat = 5, ntyp = 3
/
ATOMIC_SPECIES
Sr 87.62 Sr.upf
Sc 44.96 Sc.upf
Sn 118.71 Sn.upf
CELL_PARAMETERS angstrom
5.7768 0.0000 0.0000
0.0000 5.7768 0.0000
0.0000 0.0000 5.7768
ATOMIC_POSITIONS crystal
Sr 0.0000 0.0000 0.0000
Sc 0.5000 0.5000 0.5000
Sn 0.0000 0.0000 0.5000
Sn 0.0000 0.5000 0.0000
Sn 0.5000 0.0000 0.0000

(4)
! UHICl | the Alexandria database | PBE | relaxed; values from VASP
! - Total energy: -5.478 eV/atom
! - Volume: 25.3 Å³ per atom
! - Total moment: 3.00 μB per formula unit
&SYSTEM
  ibrav = 0, nat = 4, ntyp = 4
/
ATOMIC_SPECIES
U 238.03 U.upf
H 1.01 H.upf
I 126.90 I.upf
Cl 35.45 Cl.upf
CELL_PARAMETERS angstrom
3.3529 -1.9359 0.0000
3.3529 1.9359 0.0000
-2.2469 0.0000 7.8010
ATOMIC_POSITIONS crystal
U 0.0000 0.0000 0.0000
H 0.6639 0.6639 0.9916
I 0.2376 0.2376 0.7143
Cl 0.4103 0.4103 0.2297

(5)
! CeTmPaO6 | the Alexandria database | PBE | relaxed; values from VASP
! - Total energy: -8.965 eV/atom
! - E_form (uncorrected): -3.45 eV/atom
! - Volume: 15.0 Å³ per atom
! - Total moment: 0.00 μB per formula unit
&SYSTEM
  ibrav = 0, nat = 18, ntyp = 4
/
ATOMIC_SPECIES
Ce 140.12 Ce.upf
Tm 168.93 Tm.upf
Pa 231.04 Pa.upf
O 16.00 O.upf
CELL_PARAMETERS angstrom
5.7553 0.0000 0.0000
-2.8776 4.9842 0.0000
0.0000 0.0000 9.4268
ATOMIC_POSITIONS crystal
Ce 0.3333 0.6667 0.2500
Ce 0.6667 0.3333 0.7500
Tm 0.3333 0.6667 0.7500
Tm 0.6667 0.3333 0.2500
Pa 0.0000 0.0000 0.0000
Pa 0.0000 0.0000 0.5000
O 0.0033 0.3242 0.6288
O 0.0033 0.6791 0.8712
O 0.3209 0.3242 0.8712
O 0.3209 0.9967 0.6288
O 0.3242 0.0033 0.1288
O 0.3242 0.3209 0.3712
O 0.6758 0.6791 0.6288
O 0.6758 0.9967 0.8712
O 0.6791 0.0033 0.3712
O 0.6791 0.6758 0.1288
O 0.9967 0.3209 0.1288
O 0.9967 0.6758 0.3712

(6)
! Cs5K2Na6 | the Alexandria database | PBE | relaxed; values from VASP
! - Total energy: -1.027 eV/atom
! - Energy of formation from the pure elements: 99.1 kJ/mol of formula units
! - Volume: 87.3 Å³ per atom
! - Total moment: 0.00 μB per formula unit
&SYSTEM
  ibrav = 0, nat = 13, ntyp = 3
/
ATOMIC_SPECIES
Cs 132.91 Cs.upf
K 39.10 K.upf
Na 22.99 Na.upf
CELL_PARAMETERS angstrom
5.1079 2.9491 12.5584
-5.1079 2.9491 12.5584
0.0000 -5.8981 12.5584
ATOMIC_POSITIONS crystal
Cs 0.0000 0.0000 0.0000
Cs 0.2487 0.2487 0.2487
Cs 0.4178 0.4178 0.4178
Cs 0.5822 0.5822 0.5822
Cs 0.7513 0.7513 0.7513
K 0.1135 0.1135 0.1135
K 0.8865 0.8865 0.8865
Na 0.1700 0.5000 0.8300
Na 0.1700 0.8300 0.5000
Na 0.5000 0.1700 0.8300
Na 0.5000 0.8300 0.1700
Na 0.8300 0.1700 0.5000
Na 0.8300 0.5000 0.1700

(7)
! Th4Se5O | the Alexandria database | PBE | relaxed; values from VASP
! - Total energy: -6.948 eV/atom
! - E_form (uncorrected): -1.74 eV/atom
! - Volume: 27.6 Å³ per atom
! - Total moment: 0.00 μB per formula unit
&SYSTEM
  ibrav = 0, nat = 10, ntyp = 3
/
ATOMIC_SPECIES
Th 232.04 Th.upf
Se 78.96 Se.upf
O 16.00 O.upf
CELL_PARAMETERS angstrom
8.8529 -2.0336 0.0000
8.8529 2.0336 0.0000
-1.8611 0.0000 7.6787
ATOMIC_POSITIONS crystal
Th 0.0020 0.0020 0.2743
Th 0.3461 0.3461 0.4159
Th 0.6539 0.6539 0.5841
Th 0.9980 0.9980 0.7257
Se 0.1649 0.1649 0.8471
Se 0.1731 0.1731 0.3242
Se 0.5000 0.5000 0.0000
Se 0.8269 0.8269 0.6758
Se 0.8351 0.8351 0.1529
O 0.5000 0.5000 0.5000

(8)
! Ac3TmSn2 | the Alexandria database | PBE | relaxed; values from VASP
! - Total energy: -4.626 eV/atom
! - Energy of formation from the pure elements: -284.8 kJ/mol of formula units
! - Volume: 36.0 Å³ per atom
! - Total moment: 0.95 μB per formula unit
&SYSTEM
  ibrav = 0, nat = 12, ntyp = 3
/
ATOMIC_SPECIES
Ac 227.00 Ac.upf
Tm 168.93 Tm.upf
Sn 118.71 Sn.upf
CELL_PARAMETERS angstrom
-3.4714 8.9935 3.4606
3.4714 -8.9935 3.4606
3.4714 8.9935 -3.4606
ATOMIC_POSITIONS crystal
Ac 0.1762 0.2440 0.4202
Ac 0.2500 0.2500 0.0000
Ac 0.3238 0.7440 0.0678
Ac 0.6762 0.2560 0.9322
Ac 0.7500 0.7500 0.0000
Ac 0.8238 0.7560 0.5798
Tm 0.2500 0.7500 0.5000
Tm 0.7500 0.2500 0.5000
Sn 0.1310 0.7314 0.8624
Sn 0.3690 0.2314 0.6003
Sn 0.6310 0.7686 0.3997
Sn 0.8690 0.2686 0.1376

(9)
! Ga3PtRh4 | the Alexandria database | PBE | relaxed; values from VASP
! - Total energy: -6.053 eV/atom
! - Energy of formation from the pure elements: -376.3 kJ/mol of formula units
! - Volume: 14.4 Å³ per atom
! - Total moment: 0.00 μB per formula unit
&SYSTEM
  ibrav = 0, nat = 16, ntyp = 3
/
ATOMIC_SPECIES
Ga 69.72 Ga.upf
Pt 195.08 Pt.upf
Rh 102.91 Rh.upf
CELL_PARAMETERS angstrom
8.5066 0.0000 0.0000
0.0000 6.3619 0.0000
0.0000 0.0000 4.2549
ATOMIC_POSITIONS crystal
Ga 0.0000 0.0000 0.0000
Ga 0.2500 0.0000 0.4984
Ga 0.2500 0.5000 0.4980
Ga 0.5000 0.0000 0.0000
Ga 0.7500 0.0000 0.5016
Ga 0.7500 0.5000 0.5020
Pt 0.0000 0.5000 0.0000
Pt 0.5000 0.5000 0.0000
Rh 0.0000 0.2335 0.5000
Rh 0.0000 0.7665 0.5000
Rh 0.2500 0.2334 0.9982
Rh 0.2500 0.7666 0.9982
Rh 0.5000 0.2335 0.5000
Rh 0.5000 0.7665 0.5000
Rh 0.7500 0.2334 0.0018
Rh 0.7500 0.7666 0.0018

(10)
! SbAs2F | the Alexandria database | PBE | relaxed; values from VASP
! - Total energy: -4.013 eV/atom
! - E_form (uncorrected): -0.19 eV/atom
! - Volume: 18.6 Å³ per atom
! - Total moment: 0.00 μB per formula unit
! - Offset from the most stable computed form: 372.1 meV per atom
&SYSTEM
  ibrav = 0, nat = 4, ntyp = 3
/
ATOMIC_SPECIES
Sb 121.76 Sb.upf
As 74.92 As.upf
F 19.00 F.upf
CELL_PARAMETERS angstrom
0.0000 3.3408 3.3408
3.3408 0.0000 3.3408
3.3408 3.3408 0.0000
ATOMIC_POSITIONS crystal
Sb 0.0000 0.0000 0.0000
As 0.2500 0.2500 0.2500
As 0.7500 0.7500 0.7500
F 0.5000 0.5000 0.5000

(11)
! SrFeAg2 | the Alexandria database | PBE | relaxed; values from VASP
! - Total energy: -3.534 eV/atom
! - Energy of formation from the pure elements: 165.1 kJ/mol of formula units
! - Volume: 21.7 Å³ per atom
! - Total moment: 2.95 μB per formula unit
! - Offset from the most stable computed form: 247.5 meV per atom
&SYSTEM
  ibrav = 0, nat = 4, ntyp = 3
/
ATOMIC_SPECIES
Sr 87.62 Sr.upf
Fe 55.84 Fe.upf
Ag 107.87 Ag.upf
CELL_PARAMETERS angstrom
0.0000 3.5165 3.5165
3.5165 0.0000 3.5165
3.5165 3.5165 0.0000
ATOMIC_POSITIONS crystal
Sr 0.0000 0.0000 0.0000
Fe 0.7500 0.7500 0.7500
Ag 0.2500 0.2500 0.2500
Ag 0.5000 0.5000 0.5000

(12)
! PuScTcRu | the Alexandria database | PBE | relaxed; values from VASP
! - Total energy: -10.354 eV/atom
! - Energy of formation from the pure elements: -107.3 kJ/mol of formula units
! - Volume: 17.8 Å³ per atom
! - Total moment: 3.75 μB per formula unit
&SYSTEM
  ibrav = 0, nat = 4, ntyp = 4
/
ATOMIC_SPECIES
Pu 244.00 Pu.upf
Sc 44.96 Sc.upf
Tc 98.00 Tc.upf
Ru 101.07 Ru.upf
CELL_PARAMETERS angstrom
0.0000 3.2872 3.2872
3.2872 0.0000 3.2872
3.2872 3.2872 0.0000
ATOMIC_POSITIONS crystal
Pu 0.0000 0.0000 0.0000
Sc 0.5000 0.5000 0.5000
Tc 0.2500 0.2500 0.2500
Ru 0.7500 0.7500 0.7500